A plane-wave DFT calculation with PBE was carried out for a geometry-optimized Pa2Mn2Fe15 structure.

Output
As for the total energy: -164.72 eV for the cell shown. For the density of states at the Fermi level, the calculation gives 1.423 states/eV/atom. The value obtained for the formation energy from the elements is -0.02 eV/atom.

abc: 6.312 6.312 6.312
angles: 81.16 81.16 81.16
Sites, in units of the cell vectors:
Pa  0.155  0.155  0.155
Pa  0.845  0.845  0.845
Mn  0.414  0.414  0.414
Mn  0.586  0.586  0.586
Fe  0.000  0.500  0.500
Fe  0.162  0.162  0.656
Fe  0.162  0.656  0.162
Fe  0.193  0.500  0.807
Fe  0.193  0.807  0.500
Fe  0.344  0.838  0.838
Fe  0.500  0.000  0.500
Fe  0.500  0.193  0.807
Fe  0.500  0.500  0.000
Fe  0.500  0.807  0.193
Fe  0.656  0.162  0.162
Fe  0.807  0.193  0.500
Fe  0.807  0.500  0.193
Fe  0.838  0.344  0.838
Fe  0.838  0.838  0.344

A plane-wave DFT calculation with PBE was carried out for a geometry-optimized PaMnFe structure.

Output
As for the total energy: -26.89 eV for the cell shown. For the density of states at the Fermi level, the calculation gives 1.154 states/eV/atom. The value obtained for the formation energy from the elements is 0.08 eV/atom.

abc: 4.581 4.581 4.581
angles: 134.88 134.88 65.71
Sites, in units of the cell vectors:
Pa  0.000  0.000  0.000
Mn  0.296  0.296  0.000
Fe  0.700  0.700  0.000

A plane-wave DFT calculation with PBE was carried out for a geometry-optimized Pa3Mn2Fe7 structure.

Output
As for the total energy: -107.35 eV for the cell shown. For the density of states at the Fermi level, the calculation gives 1.561 states/eV/atom. The value obtained for the formation energy from the elements is -0.11 eV/atom.

abc: 8.785 8.785 8.785
angles: 32.42 32.42 32.42
Sites, in units of the cell vectors:
Pa  0.000  0.000  0.000
Pa  0.142  0.142  0.142
Pa  0.858  0.858  0.858
Mn  0.333  0.333  0.333
Mn  0.667  0.667  0.667
Fe  0.081  0.582  0.582
Fe  0.418  0.418  0.919
Fe  0.418  0.919  0.418
Fe  0.500  0.500  0.500
Fe  0.582  0.081  0.582
Fe  0.582  0.582  0.081
Fe  0.919  0.418  0.418

A plane-wave DFT calculation with PBE was carried out for a geometry-optimized PaMnFe2 structure.

Output
As for the total energy: -35.77 eV for the cell shown. For the density of states at the Fermi level, the calculation gives 1.191 states/eV/atom. The value obtained for the formation energy from the elements is -0.05 eV/atom.

abc: 4.595 4.595 4.595
angles: 55.93 55.93 55.93
Sites, in units of the cell vectors:
Pa  0.000  0.000  0.000
Mn  0.500  0.500  0.500
Fe  0.198  0.198  0.198
Fe  0.802  0.802  0.802

A plane-wave DFT calculation with PBE was carried out for a geometry-optimized PaMnFe2 structure.

Output
As for the total energy: -35.61 eV for the cell shown. For the density of states at the Fermi level, the calculation gives 1.098 states/eV/atom. The value obtained for the formation energy from the elements is -0.01 eV/atom.

abc: 4.168 4.168 3.423
angles: 90.00 90.00 90.00
Sites, in units of the cell vectors:
Pa  0.000  0.000  0.000
Mn  0.500  0.500  0.000
Fe  0.000  0.500  0.500
Fe  0.500  0.000  0.500

A plane-wave DFT calculation with PBE was carried out for a geometry-optimized Pa3Mn7Fe2 structure.

Output
As for the total energy: -110.06 eV for the cell shown. For the density of states at the Fermi level, the calculation gives 1.626 states/eV/atom. The value obtained for the formation energy from the elements is -0.04 eV/atom.

abc: 9.084 9.084 9.084
angles: 30.63 30.63 30.63
Sites, in units of the cell vectors:
Pa  0.000  0.000  0.000
Pa  0.143  0.143  0.143
Pa  0.857  0.857  0.857
Mn  0.079  0.582  0.582
Mn  0.418  0.418  0.921
Mn  0.418  0.921  0.418
Mn  0.500  0.500  0.500
Mn  0.582  0.079  0.582
Mn  0.582  0.582  0.079
Mn  0.921  0.418  0.418
Fe  0.334  0.334  0.334
Fe  0.666  0.666  0.666

A plane-wave DFT calculation with PBE was carried out for a geometry-optimized PaMn2Fe9 structure.

Output
As for the total energy: -103.31 eV for the cell shown. For the density of states at the Fermi level, the calculation gives 1.049 states/eV/atom. The value obtained for the formation energy from the elements is 0.06 eV/atom.

abc: 8.394 8.394 8.394
angles: 33.01 33.01 33.01
Sites, in units of the cell vectors:
Pa  0.000  0.000  0.000
Mn  0.147  0.147  0.147
Mn  0.853  0.853  0.853
Fe  0.083  0.590  0.590
Fe  0.333  0.333  0.333
Fe  0.410  0.410  0.917
Fe  0.410  0.917  0.410
Fe  0.500  0.500  0.500
Fe  0.590  0.083  0.590
Fe  0.590  0.590  0.083
Fe  0.667  0.667  0.667
Fe  0.917  0.410  0.410

A plane-wave DFT calculation with PBE was carried out for a geometry-optimized PaMn2Fe3 structure.

Output
As for the total energy: -53.22 eV for the cell shown. For the density of states at the Fermi level, the calculation gives 1.221 states/eV/atom. The value obtained for the formation energy from the elements is 0.00 eV/atom.

abc: 4.875 4.875 4.075
angles: 90.00 90.00 120.00
Sites, in units of the cell vectors:
Pa  0.000  0.000  0.000
Mn  0.333  0.667  0.000
Mn  0.667  0.333  0.000
Fe  0.000  0.500  0.500
Fe  0.500  0.000  0.500
Fe  0.500  0.500  0.500

- Among the records above, which one has the highest formation energy from the elements?
  PaMnFe